A geometry-optimized Sm2DyHoIn2 structure. Source: Alexandria via LeMat-Bulk, functional PBE.

Cell: 5.2359 9.9134 6.7650 Å, 90.00 90.00 90.00°
Space group Pmc2_1 (No. 26)
Unique sites:
Sm 0.0000 0.0373 0.0000
Sm 0.5000 0.1810 0.2782
Dy 0.5000 0.4626 0.9331
Ho 0.0000 0.3219 0.6556
In 0.0000 0.3617 0.1794
In 0.5000 0.1493 0.7549

Calculated values
The total magnetization comes out at 0.000 μB per atom. As for the formation energy: -353.9 meV/atom. Its final energy is -4.370 eV/atom.